Record 1
The following is a DFT calculation (GGA-PBE) of a relaxed K3Hg12Pb crystal.

Output
- DFT formation energy (eV/atom) = -0.15
- SG = P4/mmm

abc: 5.025 5.025 19.078
angles: 90.00 90.00 90.00
Sites, in units of the cell vectors:
1 Hg 0.000 0.500 0.113
2 Hg 0.000 0.500 0.887
3 Hg 0.500 0.500 0.774
4 Hg 0.500 0.000 0.113
5 K 0.000 0.000 0.760
6 K 0.000 0.000 0.240
7 Pb 0.000 0.000 0.000
8 Hg 0.500 0.000 0.887
9 Hg 0.500 0.500 0.500
10 Hg 0.500 0.500 0.000
11 Hg 0.000 0.500 0.370
12 Hg 0.500 0.500 0.226
13 Hg 0.500 0.000 0.630
14 Hg 0.000 0.500 0.630
15 Hg 0.500 0.000 0.370
16 K 0.000 0.000 0.500


Record 2
The following is a DFT calculation (GGA-PBE) of a relaxed KTcOs crystal.

Output
- ΔE to the lowest computed polymorph (meV per atom) = 588
- DFT formation energy (eV/atom) = 1.46
- SG = Imm2

abc: 5.273 5.273 5.273
angles: 151.22 114.79 72.80
Sites, in units of the cell vectors:
1 K 0.003 0.003 0.000
2 Os 0.632 0.632 0.000
3 Tc 0.365 0.365 0.000


Record 3
The following is a DFT calculation (GGA-PBE) of a relaxed CaTbPt crystal.

Output
- ΔE to the lowest computed polymorph (meV per atom) = 109
- DFT formation energy (eV/atom) = -0.71
- SG = P3m1

abc: 6.457 4.134 4.134
angles: 120.00 90.00 90.00
Sites, in units of the cell vectors:
1 Tb 0.230 0.333 0.667
2 Pt 0.014 0.000 0.000
3 Ca 0.755 0.667 0.333